Run a
## PmYSc2 (GGA-PBE)

Data for a relaxed PmYSc2 crystal.

a b c (Å): 5.824 5.824 3.504
angles (deg): 90.00 90.00 105.90
Fractional coordinates of all 4 atoms:
1 Pm 0.000 0.000 0.000
2 Y 0.500 0.500 0.000
3 Sc 0.000 0.500 0.500
4 Sc 0.500 0.000 0.500

The spin magnetization comes out at 0.00 μB/f.u.


Run b
## PmYSc2 (GGA-PBE)

Data for a relaxed PmYSc2 crystal.

a b c (Å): 11.212 11.212 11.212
angles (deg): 17.81 17.81 17.81
Fractional coordinates of all 4 atoms:
1 Pm 0.000 0.000 0.000
2 Y 0.834 0.834 0.834
3 Sc 0.250 0.250 0.250
4 Sc 0.418 0.418 0.418

The spin magnetization comes out at 0.00 μB/f.u.


Which one sits at the bottom of the stability order? run b does.